Entry 1:
# Mn2NiOs, optimized geometry, DFT PBE
data_Mn2NiOs
_cell_length_a 2.573
_cell_length_b 2.573
_cell_length_c 8.408
_cell_angle_alpha 90.00
_cell_angle_beta 90.00
_cell_angle_gamma 115.52
_symmetry_space_group_name_H-M 'P 1'
_symmetry_Int_Tables_number 1
loop_
_symmetry_equiv_pos_as_xyz
'x,y,z'
loop_
_atom_site_label
_atom_site_type_symbol
_atom_site_fract_x
_atom_site_fract_y
_atom_site_fract_z
_atom_site_occupancy
Mn1 Mn 0.000 0.000 0.000 1
Mn2 Mn 0.500 0.500 0.242 1
Ni1 Ni 0.000 0.000 0.483 1
Os1 Os 0.500 0.500 0.747 1
# Energy relative to the elements ... 296 meV per atom
# SG ... Cmm2 (35)
# Final energy ... -8.542 eV per atom

***

Entry 2:
# Er3LuFe, optimized geometry, DFT PBE
data_Er3LuFe
_cell_length_a 5.193
_cell_length_b 5.193
_cell_length_c 5.193
_cell_angle_alpha 90.00
_cell_angle_beta 90.00
_cell_angle_gamma 90.00
_symmetry_space_group_name_H-M 'P 1'
_symmetry_Int_Tables_number 1
loop_
_symmetry_equiv_pos_as_xyz
'x,y,z'
loop_
_atom_site_label
_atom_site_type_symbol
_atom_site_fract_x
_atom_site_fract_y
_atom_site_fract_z
_atom_site_occupancy
Er1 Er 0.000 0.000 0.500 1
Er2 Er 0.000 0.500 0.000 1
Er3 Er 0.500 0.000 0.000 1
Lu1 Lu 0.500 0.500 0.500 1
Fe1 Fe 0.000 0.000 0.000 1
# Energy relative to the elements ... 112 meV per atom
# SG ... Pm-3m (221)
# Final energy ... -5.222 eV per atom